This record from Alexandria via LeMat-Bulk describes a relaxed structure of CuHg2Se. The functional is PBE.

Calculated values
The calculation puts the total energy at -7.166 eV/cell. The value obtained for the magnetization is 0.00 μB/cell. For the density of states at the Fermi level, the calculation gives 2.505 states/eV/f.u. Its space group is No. 123. For the energy relative to the elements, uncorrected, the calculation gives 254.6 meV/atom.

Cell lengths 3.872, 3.871, 6.342 Å; angles 90.00, 90.00, 90.00 degrees
Sites, in units of the cell vectors:
1 Cu 0.000 0.500 0.500
2 Hg 0.000 0.000 0.000
3 Hg 0.500 0.500 0.000
4 Se 0.500 0.000 0.500



This record from Alexandria via LeMat-Bulk describes a relaxed structure of CuHgSe3. The functional is PBE.

Calculated values
The calculation puts the total energy at -12.646 eV/cell. The value obtained for the magnetization is 0.00 μB/cell. For the density of states at the Fermi level, the calculation gives 5.677 states/eV/f.u. Its space group is No. 221. For the energy relative to the elements, uncorrected, the calculation gives 441.0 meV/atom. The value obtained for the distance to the lowest polymorph of the same formula is 0.00 eV per formula unit.

Cell lengths 4.858, 4.858, 4.858 Å; angles 90.00, 90.00, 90.00 degrees
Sites, in units of the cell vectors:
1 Cu 0.000 0.000 0.000
2 Hg 0.500 0.500 0.500
3 Se 0.000 0.500 0.000
4 Se 0.000 0.000 0.500
5 Se 0.500 0.000 0.000



This record from Alexandria via LeMat-Bulk describes a relaxed structure of CuHg2Se. The functional is PBE.

Calculated values
The calculation puts the total energy at -6.915 eV/cell. The value obtained for the magnetization is 0.00 μB/cell. For the density of states at the Fermi level, the calculation gives 1.519 states/eV/f.u. Its space group is No. 119. For the energy relative to the elements, uncorrected, the calculation gives 317.4 meV/atom.

Cell lengths 5.187, 5.187, 5.187 Å; angles 128.23, 128.23, 76.25 degrees
Sites, in units of the cell vectors:
1 Cu 0.750 0.250 0.500
2 Hg 0.000 0.000 0.000
3 Hg 0.250 0.750 0.500
4 Se 0.500 0.500 0.000



This record from Alexandria via LeMat-Bulk describes a relaxed structure of CuHg2Se. The functional is PBE.

Calculated values
The calculation puts the total energy at -7.512 eV/cell. The value obtained for the magnetization is 0.00 μB/cell. For the density of states at the Fermi level, the calculation gives 1.603 states/eV/f.u. Its space group is No. 10. For the energy relative to the elements, uncorrected, the calculation gives 168.1 meV/atom.

Cell lengths 4.235, 4.658, 4.692 Å; angles 76.86, 90.00, 90.00 degrees
Sites, in units of the cell vectors:
1 Cu 0.500 0.750 0.750
2 Hg 0.000 0.975 0.975
3 Hg 0.000 0.525 0.525
4 Se 0.500 0.250 0.250



This record from Alexandria via LeMat-Bulk describes a relaxed structure of Cu2HgSe3. The functional is PBE.

Calculated values
The calculation puts the total energy at -39.551 eV/cell. The value obtained for the magnetization is 0.00 μB/cell. For the density of states at the Fermi level, the calculation gives 4.944 states/eV/f.u. Its space group is No. 9. For the energy relative to the elements, uncorrected, the calculation gives -138.0 meV/atom.

Cell lengths 7.035, 7.035, 7.013 Å; angles 99.34, 99.34, 120.28 degrees
Sites, in units of the cell vectors:
1 Cu 0.599 0.435 0.012
2 Cu 0.755 0.266 0.514
3 Cu 0.435 0.599 0.512
4 Cu 0.266 0.755 0.014
5 Hg 0.096 0.922 0.497
6 Hg 0.922 0.096 0.997
7 Se 0.056 0.259 0.405
8 Se 0.259 0.056 0.905
9 Se 0.882 0.421 0.872
10 Se 0.421 0.882 0.372
11 Se 0.520 0.684 0.871
12 Se 0.684 0.520 0.371



This record from Alexandria via LeMat-Bulk describes a relaxed structure of Cu2Hg2Se. The functional is PBE.

Calculated values
The calculation puts the total energy at -21.874 eV/cell. The value obtained for the magnetization is 0.00 μB/cell. For the density of states at the Fermi level, the calculation gives 2.641 states/eV/f.u. Its space group is No. 127. For the energy relative to the elements, uncorrected, the calculation gives 268.7 meV/atom. The value obtained for the distance to the lowest polymorph of the same formula is 0.50 eV per formula unit.

Cell lengths 8.168, 8.168, 2.864 Å; angles 90.00, 90.00, 90.00 degrees
Sites, in units of the cell vectors:
1 Cu 0.107 0.607 0.500
2 Cu 0.607 0.893 0.500
3 Cu 0.893 0.393 0.500
4 Cu 0.393 0.107 0.500
5 Hg 0.314 0.814 0.000
6 Hg 0.814 0.686 0.000
7 Hg 0.686 0.186 0.000
8 Hg 0.186 0.314 0.000
9 Se 0.000 0.000 0.000
10 Se 0.500 0.500 0.000



This record from Alexandria via LeMat-Bulk describes a relaxed structure of CuHg2Se. The functional is PBE.

Calculated values
The calculation puts the total energy at -8.072 eV/cell. The value obtained for the magnetization is 0.00 μB/cell. For the density of states at the Fermi level, the calculation gives 1.722 states/eV/f.u. Its space group is No. 6. For the energy relative to the elements, uncorrected, the calculation gives 28.0 meV/atom.

Cell lengths 4.032, 5.703, 5.666 Å; angles 48.03, 90.00, 90.00 degrees
Sites, in units of the cell vectors:
1 Cu 0.500 0.702 0.700
2 Hg 0.000 0.905 0.906
3 Hg 0.500 0.314 0.316
4 Se 0.000 0.578 0.577



This record from Alexandria via LeMat-Bulk describes a relaxed structure of CuHg2Se. The functional is PBE.

Calculated values
The calculation puts the total energy at -7.681 eV/cell. The value obtained for the magnetization is 0.00 μB/cell. For the density of states at the Fermi level, the calculation gives 1.809 states/eV/f.u. Its space group is No. 44. For the energy relative to the elements, uncorrected, the calculation gives 125.8 meV/atom.

Cell lengths 5.826, 5.826, 5.826 Å; angles 147.36, 110.18, 79.21 degrees
Sites, in units of the cell vectors:
1 Cu 0.267 0.767 0.500
2 Hg 0.030 0.030 0.000
3 Hg 0.749 0.249 0.500
4 Se 0.455 0.455 0.000